[1]
A relaxed Tm3WC3 crystal. Source: the Alexandria database, functional PBE.

Energy = -8.098 eV/atom
ΔE_f = -0.378 eV per atom

Lattice parameters (Å, degrees): 6.799 6.799 5.057 90.00 90.00 99.65
Fractional positions:
Tm 0.110 0.890 0.750
Tm 0.165 0.398 0.750
Tm 0.398 0.165 0.250
Tm 0.602 0.835 0.750
Tm 0.835 0.602 0.250
Tm 0.890 0.110 0.250
W 0.312 0.688 0.250
W 0.688 0.312 0.750
C 0.123 0.877 0.250
C 0.169 0.408 0.250
C 0.408 0.169 0.750
C 0.592 0.831 0.250
C 0.831 0.592 0.750
C 0.877 0.123 0.750

=====

[2]
A relaxed VAs2PPt crystal. Source: the Alexandria database, functional PBE.

Energy = -4.916 eV/atom
ΔE_f = 1.057 eV per atom

Lattice parameters (Å, degrees): 4.795 4.795 4.889 90.00 90.00 90.00
Fractional positions:
V 0.000 0.000 0.000
As 0.000 0.500 0.500
As 0.500 0.000 0.500
P 0.500 0.500 0.000
Pt 0.000 0.000 0.500

=====

[3]
A relaxed NaAc2PtO4 crystal. Source: the Alexandria database, functional PBE.

Energy = -6.524 eV/atom
ΔE_f (raw) = -2.0973 eV/atom

Lattice parameters (Å, degrees): 3.939 6.389 11.900 90.00 90.00 90.00
Fractional positions:
Na 0.000 0.000 0.000
Na 0.500 0.500 0.500
Ac 0.000 0.500 0.205
Ac 0.000 0.500 0.795
Ac 0.500 0.000 0.295
Ac 0.500 0.000 0.705
Pt 0.000 0.000 0.500
Pt 0.500 0.500 0.000
O 0.000 0.236 0.356
O 0.000 0.236 0.644
O 0.000 0.764 0.356
O 0.000 0.764 0.644
O 0.500 0.264 0.144
O 0.500 0.264 0.856
O 0.500 0.736 0.144
O 0.500 0.736 0.856

=====

[4]
A relaxed YHo4Ag crystal. Source: the Alexandria database, functional PBE.

Energy = -4.565 eV/atom
ΔE_f = 0.039 eV per atom

Lattice parameters (Å, degrees): 10.670 10.670 6.391 90.00 90.00 150.53
Fractional positions:
Y 0.135 0.865 0.500
Y 0.865 0.135 0.000
Ho 0.065 0.935 0.001
Ho 0.256 0.744 0.121
Ho 0.322 0.678 0.634
Ho 0.465 0.535 0.832
Ho 0.535 0.465 0.332
Ho 0.678 0.322 0.134
Ho 0.744 0.256 0.621
Ho 0.935 0.065 0.501
Ag 0.397 0.603 0.244
Ag 0.603 0.397 0.744

=====

[5]
A relaxed BeTcPt2 crystal. Source: the Alexandria database, functional PBE.

Energy = -6.748 eV/atom
ΔE_f = -0.205 eV per atom

Lattice parameters (Å, degrees): 2.742 3.823 5.306 90.00 90.00 90.00
Fractional positions:
Be 0.000 0.000 0.000
Tc 0.000 0.000 0.500
Pt 0.500 0.500 0.245
Pt 0.500 0.500 0.755

=====

[6]
A relaxed RuPtBr2 crystal. Source: the Alexandria database, functional PBE.

Energy = -3.847 eV/atom
ΔE_f (raw) = 0.8189 eV/atom

Lattice parameters (Å, degrees): 3.219 4.299 5.791 90.00 98.68 90.00
Fractional positions:
Ru 0.000 0.000 0.000
Pt 0.500 0.000 0.500
Br 0.226 0.500 0.245
Br 0.774 0.500 0.755